1.
Mn2PRu: optimized geometry, PBE-GGA.

Cell lengths 3.1315, 2.9954, 11.0343 Å; angles 90.00, 90.00, 90.00 degrees
Space group Amm2 (No. 38)
One atom of each set of equivalent atoms:
Mn: 0.0000 0.0000 0.0000 (multiplicity 2)
Mn: 0.5000 0.0000 0.3572 (multiplicity 2)
P: 0.5000 0.0000 0.5750 (multiplicity 2)
Ru: 0.0000 0.0000 0.7317 (multiplicity 2)

=====

2.
Mn2PRu: optimized geometry, PBE-GGA.

Cell lengths 5.7217, 5.7217, 5.7217 Å; angles 90.00, 90.00, 90.00 degrees
Space group Fm-3m (No. 225)
One atom of each set of equivalent atoms:
Mn: 0.2500 0.2500 0.2500 (multiplicity 8)
P: 0.0000 0.0000 0.0000 (multiplicity 4)
Ru: 0.0000 0.0000 0.5000 (multiplicity 4)

=====

3.
Mn2PRu: optimized geometry, PBE-GGA.

Cell lengths 3.5948, 3.5948, 3.8152 Å; angles 90.00, 90.00, 90.00 degrees
Space group P4/mmm (No. 123)
One atom of each set of equivalent atoms:
Mn: 0.0000 0.5000 0.0000 (multiplicity 2)
P: 0.0000 0.0000 0.5000 (multiplicity 1)
Ru: 0.5000 0.5000 0.5000 (multiplicity 1)

=====

no.,energy (eV per cell),ΔE to the lowest computed polymorph (eV/f.u.)
1,-67.77,0.25
2,-130.54,1.50
3,-33.60,0.54